# 1
Density functional theory data (PBE) for a geometry-optimized LaInSn6 structure.

Summary:
As for the formation energy: -234 meV per atom.

a = 4.7643 Å, b = 4.7643 Å, c = 9.7674 Å
α = 90.00°, β = 90.00°, γ = 90.00°
Closest atoms and distances in Å follow each position.
Atoms (fractional coordinates):
La 0.0000 0.0000 0.0000  12 Sn 3.37-3.44
In 0.0000 0.0000 0.5000  12 Sn 3.37-3.38
Sn 0.0000 0.5000 0.2547  8 Sn 3.37-3.44, 2 In 3.38, 2 La 3.44
Sn 0.0000 0.5000 0.7453  8 Sn 3.37-3.44, 2 In 3.38, 2 La 3.44
Sn 0.5000 0.0000 0.2547  8 Sn 3.37-3.44, 2 In 3.38, 2 La 3.44
Sn 0.5000 0.0000 0.7453  8 Sn 3.37-3.44, 2 In 3.38, 2 La 3.44
Sn 0.5000 0.5000 0.0000  4 La 3.37, 8 Sn 3.44
Sn 0.5000 0.5000 0.5000  4 In 3.37, 8 Sn 3.38


# 2
Density functional theory data (PBE) for a geometry-optimized La6InSn structure.

Summary:
As for the formation energy: -399 meV per atom.

a = 5.0631 Å, b = 5.0631 Å, c = 10.1022 Å
α = 90.00°, β = 90.00°, γ = 90.00°
Closest atoms and distances in Å follow each position.
Atoms (fractional coordinates):
La 0.0000 0.0000 0.0000  8 La 3.55, 4 Sn 3.58
La 0.0000 0.0000 0.5000  4 In 3.58, 8 La 3.60
La 0.0000 0.5000 0.2469  8 La 3.55-3.60, 2 Sn 3.55, 2 In 3.60
La 0.0000 0.5000 0.7531  2 Sn 3.55, 8 La 3.55-3.60, 2 In 3.60
La 0.5000 0.0000 0.2469  8 La 3.55-3.60, 2 Sn 3.55, 2 In 3.60
La 0.5000 0.0000 0.7531  2 Sn 3.55, 8 La 3.55-3.60, 2 In 3.60
In 0.5000 0.5000 0.5000  12 La 3.58-3.60
Sn 0.5000 0.5000 0.0000  12 La 3.55-3.58


# 3
Density functional theory data (PBE) for a geometry-optimized La6InSn3 structure.

Summary:
As for the formation energy: -459 meV per atom.

a = 7.9984 Å, b = 8.8825 Å, c = 12.5891 Å
α = 90.00°, β = 127.04°, γ = 90.00°
Closest atoms and distances in Å follow each position.
Atoms (fractional coordinates):
La 0.0285 0.1060 0.2517  3 Sn 3.18-3.29, 1 In 3.27
La 0.0285 0.3940 0.7517  3 Sn 3.18-3.29, 1 In 3.27
La 0.2226 0.6813 0.0638  3 Sn 3.18-3.53, 1 In 3.21
La 0.2226 0.8187 0.5638  3 Sn 3.18-3.53, 1 In 3.21
La 0.4016 0.1707 0.0650  4 Sn 3.18-3.56, 1 In 3.26
La 0.4016 0.3293 0.5650  4 Sn 3.18-3.56, 1 In 3.26
La 0.5984 0.6707 0.4350  4 Sn 3.18-3.56, 1 In 3.26
La 0.5984 0.8293 0.9350  4 Sn 3.18-3.56, 1 In 3.26
La 0.7774 0.1813 0.4362  3 Sn 3.18-3.53, 1 In 3.21
La 0.7774 0.3187 0.9362  3 Sn 3.18-3.53, 1 In 3.21
La 0.9715 0.6060 0.2483  3 Sn 3.18-3.29, 1 In 3.27
La 0.9715 0.8940 0.7483  3 Sn 3.18-3.29, 1 In 3.27
In 0.5000 0.0000 0.5000  6 La 3.21-3.27
In 0.5000 0.5000 0.0000  6 La 3.21-3.27
Sn 0.0000 0.0000 0.0000  6 La 3.18
Sn 0.0000 0.5000 0.5000  6 La 3.18
Sn 0.3006 0.1186 0.7504  7 La 3.28-3.56
Sn 0.3006 0.3814 0.2504  7 La 3.28-3.56
Sn 0.6994 0.6186 0.7496  7 La 3.28-3.56
Sn 0.6994 0.8814 0.2496  7 La 3.28-3.56


# 4
Density functional theory data (PBE) for a geometry-optimized La8In2Sn structure.

Summary:
As for the formation energy: -283 meV per atom.

a = 8.9282 Å, b = 8.9282 Å, c = 5.9106 Å
α = 102.61°, β = 102.61°, γ = 118.69°
Closest atoms and distances in Å follow each position.
Atoms (fractional coordinates):
La 0.0849 0.2999 0.5800  3 La 3.21-3.56, 2 In 3.31-3.45, 1 Sn 3.52
La 0.2205 0.7795 0.0000  2 In 3.24, 1 Sn 3.39, 2 La 3.56
La 0.2999 0.0849 0.5800  3 La 3.21-3.56, 2 In 3.31-3.45, 1 Sn 3.52
La 0.4020 0.4020 0.1990  2 La 3.23-3.51, 1 Sn 3.33, 2 In 3.38
La 0.5980 0.5980 0.8010  2 La 3.23-3.51, 1 Sn 3.33, 2 In 3.38
La 0.7001 0.9151 0.4200  3 La 3.21-3.56, 2 In 3.31-3.45, 1 Sn 3.52
La 0.7795 0.2205 0.0000  2 In 3.24, 1 Sn 3.39, 2 La 3.56
La 0.9151 0.7001 0.4200  3 La 3.21-3.56, 2 In 3.31-3.45, 1 Sn 3.52
In 0.3063 0.6937 0.5000  8 La 3.24-3.45
In 0.6937 0.3063 0.5000  8 La 3.24-3.45
Sn 0.0000 0.0000 0.0000  8 La 3.33-3.52


# 5
Density functional theory data (PBE) for a geometry-optimized La2In5Sn structure.

Summary:
As for the formation energy: -509 meV per atom.

a = 6.8397 Å, b = 13.5998 Å, c = 4.7199 Å
α = 90.00°, β = 90.00°, γ = 90.00°
Closest atoms and distances in Å follow each position.
Atoms (fractional coordinates):
La 0.2394 0.1222 0.0000  2 Sn 3.32, 10 In 3.39-3.43
La 0.2606 0.6222 0.0000  2 Sn 3.32, 10 In 3.39-3.43
La 0.7394 0.3778 0.0000  2 Sn 3.32, 10 In 3.39-3.43
La 0.7606 0.8778 0.0000  2 Sn 3.32, 10 In 3.39-3.43
In 0.0000 0.5000 0.5000  6 In 3.36-3.40, 4 La 3.39, 2 Sn 3.42
In 0.0103 0.7501 0.5000  7 In 3.35-3.42, 4 La 3.39-3.40, 1 Sn 3.40
In 0.2383 0.3719 0.0000  6 In 3.35-3.36, 4 La 3.40-3.43, 2 Sn 3.44
In 0.2617 0.8719 0.0000  6 In 3.35-3.36, 4 La 3.40-3.43, 2 Sn 3.44
In 0.4897 0.2501 0.5000  7 In 3.35-3.42, 4 La 3.39-3.40, 1 Sn 3.40
In 0.5000 0.0000 0.5000  6 In 3.36-3.40, 4 La 3.39, 2 Sn 3.42
In 0.5103 0.7499 0.5000  7 In 3.35-3.42, 4 La 3.39-3.40, 1 Sn 3.40
In 0.7383 0.1281 0.0000  6 In 3.35-3.36, 4 La 3.40-3.43, 2 Sn 3.44
In 0.7617 0.6281 0.0000  6 In 3.35-3.36, 4 La 3.40-3.43, 2 Sn 3.44
In 0.9897 0.2499 0.5000  7 In 3.35-3.42, 4 La 3.39-3.40, 1 Sn 3.40
Sn 0.0000 0.0000 0.5000  4 La 3.32, 8 In 3.40-3.44
Sn 0.5000 0.5000 0.5000  4 La 3.32, 8 In 3.40-3.44


# 6
Density functional theory data (PBE) for a geometry-optimized La2In3Sn structure.

Summary:
As for the formation energy: -508 meV per atom.

a = 4.2193 Å, b = 4.9041 Å, c = 8.4458 Å
α = 90.00°, β = 90.00°, γ = 90.00°
Closest atoms and distances in Å follow each position.
Atoms (fractional coordinates):
La 0.0000 0.0000 0.0000  2 Sn 3.47, 10 In 3.49-3.57
La 0.0000 0.5000 0.4843  8 In 3.49-3.57, 4 Sn 3.50
In 0.5000 0.0000 0.6619  2 In 2.80, 1 Sn 2.83
In 0.5000 0.5000 0.1552  1 In 2.81, 2 Sn 2.85
In 0.5000 0.5000 0.8226  3 In 2.80-2.81
Sn 0.5000 0.0000 0.3269  3 In 2.83-2.85